[1]
This record from Alexandria describes crystalline DyNi5Sn at its relaxed geometry. The functional is PBE.

Results
Energy ... -5.736 eV per atom
Energy of formation from the pure elements ... -0.3768 eV per atom

Unit cell a=8.051 b=4.869 c=10.243 alpha=90.00 beta=90.00 gamma=90.00
Space group Pnma (No. 62)
Unique sites:
Dy (0.248, 0.250, 0.060) [4 per cell]
Ni (0.050, 0.250, 0.600) [4 per cell]
Ni (0.066, 0.501, 0.809) [8 per cell]
Ni (0.085, 0.750, 0.017) [4 per cell]
Ni (0.188, 0.750, 0.244) [4 per cell]
Sn (0.141, 0.250, 0.361) [4 per cell]

***

[2]
This record from Alexandria describes crystalline Dy3Ni2Sn3 at its relaxed geometry. The functional is PBE.

Results
Energy ... -5.355 eV per atom
Energy of formation from the pure elements ... -0.6831 eV per atom

Unit cell a=4.443 b=10.775 c=14.912 alpha=90.00 beta=90.00 gamma=90.00
Space group Cmcm (No. 63)
Unique sites:
Dy (0.000, 0.078, 0.111) [8 per cell]
Dy (0.000, 0.357, 0.250) [4 per cell]
Ni (0.000, 0.204, 0.606) [8 per cell]
Sn (0.000, 0.347, 0.750) [4 per cell]
Sn (0.000, 0.367, 0.037) [8 per cell]

***

[3]
This record from Alexandria describes crystalline DyNiSn2 at its relaxed geometry. The functional is PBE.

Results
Energy ... -5.134 eV per atom
Energy of formation from the pure elements ... -0.5366 eV per atom

Unit cell a=4.439 b=9.223 c=17.202 alpha=90.00 beta=90.00 gamma=90.00
Space group Immm (No. 71)
Unique sites:
Dy (0.000, 0.000, 0.204) [4 per cell]
Dy (0.000, 0.234, 0.000) [4 per cell]
Ni (0.000, 0.254, 0.353) [8 per cell]
Sn (0.000, 0.000, 0.417) [4 per cell]
Sn (0.000, 0.337, 0.197) [8 per cell]
Sn (0.000, 0.500, 0.420) [4 per cell]

***

[4]
This record from Alexandria describes crystalline Dy7Ni2Sn2 at its relaxed geometry. The functional is PBE.

Results
Energy ... -5.022 eV per atom
Energy of formation from the pure elements ... -0.3149 eV per atom

Unit cell a=7.965 b=11.029 c=6.944 alpha=90.00 beta=90.00 gamma=90.00
Space group Cmmm (No. 65)
Unique sites:
Dy (0.000, 0.000, 0.000) [2 per cell]
Dy (0.000, 0.500, 0.232) [4 per cell]
Dy (0.250, 0.250, 0.245) [8 per cell]
Ni (0.000, 0.290, 0.000) [4 per cell]
Sn (0.181, 0.000, 0.500) [4 per cell]

***

[5]
This record from Alexandria describes crystalline DyNiSn6 at its relaxed geometry. The functional is PBE.

Results
Energy ... -4.451 eV per atom
Energy of formation from the pure elements ... -0.1507 eV per atom

Unit cell a=6.342 b=10.743 c=6.636 alpha=90.00 beta=116.35 gamma=90.00
Space group C2/m (No. 12)
Unique sites:
Dy (0.000, 0.000, 0.000) [2 per cell]
Ni (0.000, 0.000, 0.500) [2 per cell]
Sn (0.059, 0.500, 0.283) [4 per cell]
Sn (0.116, 0.224, 0.748) [8 per cell]

***

[6]
This record from Alexandria describes crystalline Dy2Ni2Sn at its relaxed geometry. The functional is PBE.

Results
Energy ... -5.553 eV per atom
Energy of formation from the pure elements ... -0.5989 eV per atom

Unit cell a=7.389 b=7.389 c=3.650 alpha=90.00 beta=90.00 gamma=90.00
Space group P4/mbm (No. 127)
Unique sites:
Dy (0.175, 0.325, 0.000) [4 per cell]
Ni (0.119, 0.619, 0.500) [4 per cell]
Sn (0.000, 0.000, 0.500) [2 per cell]

***

The lowest energy of formation from the pure elements belongs to which entry? Dy3Ni2Sn3